(1)
VASP calculation (PBE-GGA) on a relaxed CaTb3Tm2Te6 crystal.

The value obtained for the uncorrected formation energy is -15.8 eV/f.u. The energy is -4.9542 eV per atom.

a b c (Å): 4.353 8.765 9.777
angles (deg): 103.54 102.86 90.00
Fractional positions:
Ca1 0.500 0.000 0.000
Tb1 0.500 0.500 0.000
Tb2 0.836 0.177 0.672
Tb3 0.164 0.823 0.328
Tm1 0.831 0.661 0.661
Tm2 0.169 0.339 0.339
Te1 0.332 0.914 0.663
Te2 0.667 0.577 0.333
Te3 0.668 0.086 0.337
Te4 0.004 0.252 0.008
Te5 0.996 0.748 0.992
Te6 0.333 0.423 0.667

(2)
VASP calculation (PBE-GGA) on a relaxed Ca4Tb3TmTe8 crystal.

The value obtained for the uncorrected formation energy is -23.2 eV/f.u. The energy is -4.6696 eV per atom.

a b c (Å): 8.780 8.911 8.780
angles (deg): 119.52 120.00 90.00
Fractional positions:
Ca1 0.500 0.000 0.000
Ca2 0.500 0.000 0.500
Ca3 0.000 0.000 0.000
Ca4 0.000 0.000 0.500
Tb1 0.500 0.500 0.000
Tb2 0.500 0.500 0.500
Tb3 0.000 0.500 0.500
Tm1 0.000 0.500 0.000
Te1 0.247 0.744 0.998
Te2 0.246 0.744 0.493
Te3 0.251 0.253 0.502
Te4 0.751 0.744 0.998
Te5 0.249 0.256 0.002
Te6 0.749 0.747 0.498
Te7 0.754 0.256 0.507
Te8 0.753 0.256 0.002

(3)
VASP calculation (PBE-GGA) on a relaxed Ca3Tb2TmTe6 crystal.

The value obtained for the uncorrected formation energy is -17.3 eV/f.u. The energy is -4.6610 eV per atom.

a b c (Å): 7.601 7.601 7.747
angles (deg): 99.44 99.44 119.93
Fractional positions:
Ca1 0.169 0.831 0.500
Ca2 0.831 0.169 0.500
Ca3 0.500 0.500 0.500
Tb1 0.334 0.666 0.000
Tb2 0.666 0.334 0.000
Tm1 0.000 0.000 0.000
Te1 0.919 0.590 0.756
Te2 0.753 0.753 0.246
Te3 0.081 0.410 0.244
Te4 0.590 0.919 0.756
Te5 0.247 0.247 0.754
Te6 0.410 0.081 0.244

(4)
VASP calculation (PBE-GGA) on a relaxed CaTb4YTe8 crystal.

The value obtained for the uncorrected formation energy is -18.6 eV/f.u. The energy is -5.0519 eV per atom.

a b c (Å): 9.121 9.121 9.120
angles (deg): 59.99 59.99 60.00
Fractional positions:
Ca1 0.375 0.375 0.875
Tb1 0.625 0.625 0.125
Tb2 0.002 0.494 0.502
Tb3 0.494 0.002 0.502
Tb4 0.002 0.002 0.502
Y1 0.002 0.002 0.993
Te1 0.240 0.778 0.741
Te2 0.778 0.240 0.741
Te3 0.240 0.240 0.741
Te4 0.241 0.241 0.278
Te5 0.759 0.226 0.257
Te6 0.226 0.759 0.257
Te7 0.759 0.759 0.257
Te8 0.758 0.758 0.726

(5)
VASP calculation (PBE-GGA) on a relaxed Ca3TbY3Te8 crystal.

The value obtained for the uncorrected formation energy is -22.5 eV/f.u. The energy is -5.1755 eV per atom.

a b c (Å): 8.765 8.766 8.914
angles (deg): 119.45 90.00 120.00
Fractional positions:
Ca1 0.000 0.000 0.000
Ca2 0.000 0.500 0.000
Ca3 0.500 0.500 0.000
Tb1 0.000 0.000 0.500
Y1 0.500 0.000 0.500
Y2 0.500 0.500 0.500
Y3 0.000 0.500 0.500
Te1 0.251 0.503 0.255
Te2 0.749 0.497 0.745
Te3 0.749 0.498 0.254
Te4 0.251 0.502 0.746
Te5 0.749 0.005 0.255
Te6 0.251 0.995 0.745
Te7 0.256 0.005 0.255
Te8 0.744 0.995 0.745

(6)
VASP calculation (PBE-GGA) on a relaxed Ca2TbYTe4 crystal.

The value obtained for the uncorrected formation energy is -11.7 eV/f.u. The energy is -4.9257 eV per atom.

a b c (Å): 4.398 7.610 7.778
angles (deg): 109.11 90.00 90.00
Fractional positions:
Ca1 0.500 0.000 0.500
Ca2 0.000 0.500 0.500
Tb1 0.500 0.500 0.000
Y1 0.000 0.000 0.000
Te1 0.500 0.248 0.246
Te2 0.500 0.752 0.754
Te3 0.000 0.251 0.754
Te4 0.000 0.749 0.246

(7)
VASP calculation (PBE-GGA) on a relaxed Ca4TbY3Te8 crystal.

The value obtained for the uncorrected formation energy is -23.5 eV/f.u. The energy is -5.0425 eV per atom.

a b c (Å): 8.789 8.926 8.790
angles (deg): 119.49 120.00 90.00
Fractional positions:
Ca1 0.500 0.000 0.000
Ca2 0.500 0.000 0.500
Ca3 0.000 0.000 0.000
Ca4 0.000 0.000 0.500
Tb1 0.000 0.500 0.000
Y1 0.500 0.500 0.000
Y2 0.500 0.500 0.500
Y3 0.000 0.500 0.500
Te1 0.249 0.746 0.997
Te2 0.249 0.746 0.498
Te3 0.251 0.254 0.503
Te4 0.748 0.746 0.997
Te5 0.252 0.254 0.003
Te6 0.749 0.746 0.497
Te7 0.751 0.254 0.502
Te8 0.751 0.254 0.003

(8)
VASP calculation (PBE-GGA) on a relaxed Ca3TbY2Te6 crystal.

The value obtained for the uncorrected formation energy is -17.6 eV/f.u. The energy is -5.0034 eV per atom.

a b c (Å): 7.613 7.613 7.772
angles (deg): 99.42 99.42 119.94
Fractional positions:
Ca1 0.167 0.833 0.500
Ca2 0.833 0.167 0.500
Ca3 0.500 0.500 0.500
Tb1 0.000 0.000 0.000
Y1 0.333 0.667 0.000
Y2 0.667 0.333 0.000
Te1 0.918 0.584 0.754
Te2 0.748 0.748 0.246
Te3 0.082 0.416 0.246
Te4 0.584 0.918 0.754
Te5 0.252 0.252 0.754
Te6 0.416 0.082 0.246

(9)
VASP calculation (PBE-GGA) on a relaxed Ca3Tb2YTe6 crystal.

The value obtained for the uncorrected formation energy is -17.6 eV/f.u. The energy is -4.8492 eV per atom.

a b c (Å): 7.615 7.615 7.776
angles (deg): 99.42 99.42 119.95
Fractional positions:
Ca1 0.167 0.833 0.500
Ca2 0.833 0.167 0.500
Ca3 0.500 0.500 0.500
Tb1 0.334 0.666 0.000
Tb2 0.666 0.334 0.000
Y1 0.000 0.000 0.000
Te1 0.918 0.585 0.754
Te2 0.749 0.749 0.246
Te3 0.082 0.415 0.246
Te4 0.585 0.918 0.754
Te5 0.251 0.251 0.754
Te6 0.415 0.082 0.246

(10)
VASP calculation (PBE-GGA) on a relaxed CaTb2YTe4 crystal.

The value obtained for the uncorrected formation energy is -11.1 eV/f.u. The energy is -5.1715 eV per atom.

a b c (Å): 4.372 7.626 7.626
angles (deg): 70.93 90.00 90.00
Fractional positions:
Ca1 0.500 0.500 0.000
Tb1 0.000 0.000 0.000
Tb2 0.500 0.000 0.500
Y1 0.000 0.500 0.500
Te1 0.000 0.751 0.748
Te2 0.000 0.249 0.252
Te3 0.500 0.750 0.251
Te4 0.500 0.250 0.749

(11)
VASP calculation (PBE-GGA) on a relaxed Ca3Tb3YTe8 crystal.

The value obtained for the uncorrected formation energy is -22.5 eV/f.u. The energy is -4.9296 eV per atom.

a b c (Å): 8.773 8.774 8.922
angles (deg): 119.46 90.00 120.00
Fractional positions:
Ca1 0.000 0.000 0.000
Ca2 0.000 0.500 0.000
Ca3 0.500 0.500 0.000
Tb1 0.500 0.000 0.500
Tb2 0.500 0.500 0.500
Tb3 0.000 0.500 0.500
Y1 0.000 0.000 0.500
Te1 0.251 0.503 0.254
Te2 0.749 0.497 0.746
Te3 0.750 0.499 0.254
Te4 0.250 0.501 0.746
Te5 0.750 0.005 0.255
Te6 0.250 0.995 0.745
Te7 0.255 0.005 0.255
Te8 0.745 0.995 0.745

(12)
VASP calculation (PBE-GGA) on a relaxed CaTb3Y2Te6 crystal.

The value obtained for the uncorrected formation energy is -16.4 eV/f.u. The energy is -5.3358 eV per atom.

a b c (Å): 4.384 8.799 9.819
angles (deg): 103.16 102.90 90.00
Fractional positions:
Ca1 0.500 0.000 0.000
Tb1 0.500 0.500 0.000
Tb2 0.834 0.175 0.667
Tb3 0.166 0.825 0.333
Y1 0.829 0.658 0.658
Y2 0.171 0.342 0.342
Te1 0.333 0.918 0.666
Te2 0.665 0.581 0.329
Te3 0.667 0.082 0.334
Te4 0.002 0.251 0.004
Te5 0.998 0.749 0.996
Te6 0.335 0.419 0.671

(13)
VASP calculation (PBE-GGA) on a relaxed CaTb2Th crystal.

Its energy relative to the elements is 15 kJ/mol of formula units. The energy is -4.6306 eV per atom.

a b c (Å): 3.621 3.621 12.113
angles (deg): 81.40 81.40 60.00
Fractional positions:
Ca1 0.501 0.501 0.498
Tb1 0.078 0.078 0.767
Tb2 0.256 0.256 0.233
Th1 0.666 0.666 0.001

(14)
VASP calculation (PBE-GGA) on a relaxed CaTb2Th crystal.

Its energy relative to the elements is 70 kJ/mol of formula units. The energy is -4.4896 eV per atom.

a b c (Å): 3.783 5.944 5.944
angles (deg): 90.00 90.00 90.00
Fractional positions:
Ca1 0.500 0.000 0.000
Tb1 0.000 0.000 0.500
Tb2 0.000 0.500 0.000
Th1 0.500 0.500 0.500

(15)
VASP calculation (PBE-GGA) on a relaxed CaTb2Th crystal.

Its energy relative to the elements is 87 kJ/mol of formula units. The energy is -4.4441 eV per atom.

a b c (Å): 5.755 5.755 5.755
angles (deg): 60.00 60.00 60.00
Last column: magnetic moment on the atom in μB.
Fractional positions:
Ca1 0.500 0.500 0.500  0.00
Tb1 0.250 0.250 0.250  0.11
Tb2 0.750 0.750 0.750  0.11
Th1 0.000 0.000 0.000  0.20

(16)
VASP calculation (PBE-GGA) on a relaxed CaTb2Th crystal.

Its energy relative to the elements is 51 kJ/mol of formula units. The energy is -4.5373 eV per atom.

a b c (Å): 3.575 3.575 12.626
angles (deg): 81.86 81.86 60.00
Fractional positions:
Ca1 0.000 0.000 0.000
Tb1 0.092 0.092 0.724
Tb2 0.908 0.908 0.276
Th1 0.500 0.500 0.500

(17)
VASP calculation (PBE-GGA) on a relaxed CaTb2Th crystal.

Its energy relative to the elements is 17 kJ/mol of formula units. The energy is -4.6268 eV per atom.

a b c (Å): 3.649 3.649 10.308
angles (deg): 90.00 90.00 90.00
Fractional positions:
Ca1 0.500 0.500 0.500
Tb1 0.000 0.000 0.774
Tb2 0.000 0.000 0.226
Th1 0.500 0.500 0.000

(18)
VASP calculation (PBE-GGA) on a relaxed CaTbTl6 crystal.

Its energy relative to the elements is -183 kJ/mol of formula units. The energy is -2.8413 eV per atom.

a b c (Å): 4.799 4.799 9.669
angles (deg): 90.00 90.00 90.00
Fractional positions:
Ca1 0.000 0.000 0.000
Tb1 0.000 0.000 0.500
Tl1 0.500 0.500 0.000
Tl2 0.500 0.500 0.500
Tl3 0.500 0.000 0.253
Tl4 0.500 0.000 0.747
Tl5 0.000 0.500 0.253
Tl6 0.000 0.500 0.747

(19)
VASP calculation (PBE-GGA) on a relaxed CaTbTl4 crystal.

Its energy relative to the elements is -107 kJ/mol of formula units. The energy is -2.8678 eV per atom.

a b c (Å): 5.589 4.934 8.959
angles (deg): 74.61 68.53 117.54
Fractional positions:
Ca1 0.502 0.497 0.998
Tb1 0.001 0.997 0.498
Tl1 0.563 0.895 0.258
Tl2 0.440 0.099 0.738
Tl3 0.081 0.413 0.740
Tl4 0.922 0.582 0.256

(20)
VASP calculation (PBE-GGA) on a relaxed CaTb2Tl4 crystal.

Its energy relative to the elements is -153 kJ/mol of formula units. The energy is -3.1877 eV per atom.

a b c (Å): 5.293 5.293 8.445
angles (deg): 108.34 108.26 90.00
Last column: magnetic moment on the atom in μB.
Fractional positions:
Ca1 0.000 0.000 0.000  0.00
Tb1 0.750 0.750 0.499  0.06
Tb2 0.250 0.250 0.501  0.06
Tl1 0.381 0.881 0.762  0.00
Tl2 0.881 0.381 0.762  0.00
Tl3 0.619 0.119 0.238  0.00
Tl4 0.119 0.619 0.238  0.00

(21)
VASP calculation (PBE-GGA) on a relaxed CaTbTl2 crystal.

Its energy relative to the elements is -156 kJ/mol of formula units. The energy is -3.2443 eV per atom.

a b c (Å): 3.830 3.830 7.743
angles (deg): 90.00 90.00 90.00
Fractional positions:
Tl1 0.000 0.000 0.754
Tl2 0.000 0.000 0.246
Tb1 0.500 0.500 0.000
Ca1 0.500 0.500 0.500

(22)
VASP calculation (PBE-GGA) on a relaxed Ca2TbTl crystal.

Its energy relative to the elements is -35 kJ/mol of formula units. The energy is -2.8415 eV per atom.

a b c (Å): 4.194 4.194 7.357
angles (deg): 90.00 90.00 90.00
Fractional positions:
Tl1 0.500 0.500 0.000
Tb1 0.500 0.500 0.500
Ca1 0.000 0.000 0.766
Ca2 0.000 0.000 0.234

(23)
VASP calculation (PBE-GGA) on a relaxed CaTb3Tl5 crystal.

Its energy relative to the elements is -249 kJ/mol of formula units. The energy is -3.3673 eV per atom.

a b c (Å): 6.612 9.400 9.400
angles (deg): 120.00 90.00 90.00
Fractional positions:
Ca1 0.000 0.000 0.000
Ca2 0.500 0.000 0.000
Tb1 0.750 0.370 0.370
Tb2 0.750 0.000 0.630
Tb3 0.750 0.630 0.000
Tb4 0.250 0.630 0.630
Tb5 0.250 0.000 0.370
Tb6 0.250 0.370 0.000
Tl1 0.000 0.667 0.333
Tl2 0.500 0.333 0.667
Tl3 0.000 0.333 0.667
Tl4 0.500 0.667 0.333
Tl5 0.750 0.701 0.701
Tl6 0.750 0.000 0.299
Tl7 0.750 0.299 0.000
Tl8 0.250 0.299 0.299
Tl9 0.250 0.000 0.701
Tl10 0.250 0.701 0.000